[1]
VASP calculation (GGA-PBE) on BaNa2Tl2Au2 after structural relaxation.

Lattice parameters (Å, degrees): 5.018 5.018 10.064 75.56 75.56 60.00
Sites, in units of the cell vectors:
Au1 0.591 0.591 0.227
Na1 0.868 0.868 0.396
Na2 0.132 0.132 0.604
Tl1 0.746 0.746 0.761
Au2 0.409 0.409 0.773
Tl2 0.254 0.254 0.239
Ba1 0.000 0.000 0.000

Results
* crystal system: trigonal
* energy of formation from the pure elements: -0.318 eV per atom

=====

[2]
VASP calculation (GGA-PBE) on Nd2HoP2N6 after structural relaxation.

Lattice parameters (Å, degrees): 5.727 5.727 6.038 90.00 90.00 120.00
Sites, in units of the cell vectors:
N1 0.284 0.914 0.764
N2 0.630 0.716 0.764
N3 0.370 0.284 0.236
P1 0.333 0.667 0.822
P2 0.667 0.333 0.178
Ho1 0.000 0.000 0.000
Nd1 0.333 0.667 0.347
N4 0.716 0.086 0.236
Nd2 0.667 0.333 0.653
N5 0.914 0.630 0.236
N6 0.086 0.370 0.764

Results
* energy relative to the elements, uncorrected: -9.763 eV per formula unit
* crystal system: trigonal

=====

Number 1: magnetization 0.00 Bohr magnetons per cell. Number 2: magnetization 0.51 Bohr magnetons per cell.